[1]
# Ag6HgAu12 | the Alexandria database | PBE-GGA | relaxed
data_Ag6HgAu12
_chemical_formula_sum 'Ag6 Hg1 Au12'
_cell_length_a 7.313
_cell_length_b 7.313
_cell_length_c 7.313
_cell_angle_alpha 101.90
_cell_angle_beta 101.90
_cell_angle_gamma 101.90
_space_group_name_H-M_alt 'P 1'
_space_group_IT_number 1
loop_
_space_group_symop_operation_xyz
'x,y,z'
loop_
_atom_site_label
_atom_site_fract_x
_atom_site_fract_y
_atom_site_fract_z
Au1 0.595 0.188 0.587
Au2 0.413 0.405 0.812
Au3 0.003 0.262 0.739
Au4 0.738 0.261 0.997
Au5 0.405 0.812 0.413
Au6 0.188 0.587 0.595
Au7 0.739 0.003 0.262
Au8 0.997 0.738 0.261
Au9 0.812 0.413 0.405
Au10 0.262 0.739 0.003
Au11 0.261 0.997 0.738
Au12 0.587 0.595 0.188
Hg1 0.000 0.000 0.000
Ag1 0.577 0.828 0.833
Ag2 0.828 0.833 0.577
Ag3 0.423 0.172 0.167
Ag4 0.172 0.167 0.423
Ag5 0.833 0.577 0.828
Ag6 0.167 0.423 0.172
# formation energy	44	meV/atom

[2]
# Ag2HgAu | the Alexandria database | PBE-GGA | relaxed
data_Ag2HgAu
_chemical_formula_sum 'Ag2 Hg1 Au1'
_cell_length_a 4.218
_cell_length_b 4.215
_cell_length_c 4.256
_cell_angle_alpha 90.00
_cell_angle_beta 90.00
_cell_angle_gamma 90.00
_space_group_name_H-M_alt 'P 1'
_space_group_IT_number 1
loop_
_space_group_symop_operation_xyz
'x,y,z'
loop_
_atom_site_label
_atom_site_fract_x
_atom_site_fract_y
_atom_site_fract_z
Hg1 0.000 0.500 0.500
Au1 0.500 0.000 0.500
Ag1 0.000 0.000 0.000
Ag2 0.500 0.500 0.000
# formation energy	10	meV/atom

[3]
# Ag5Hg2Au2 | the Alexandria database | PBE-GGA | relaxed
data_Ag5Hg2Au2
_chemical_formula_sum 'Ag10 Hg4 Au4'
_cell_length_a 7.262
_cell_length_b 7.411
_cell_length_c 7.877
_cell_angle_alpha 118.06
_cell_angle_beta 90.00
_cell_angle_gamma 90.00
_space_group_name_H-M_alt 'P 1'
_space_group_IT_number 1
loop_
_space_group_symop_operation_xyz
'x,y,z'
loop_
_atom_site_label
_atom_site_fract_x
_atom_site_fract_y
_atom_site_fract_z
Ag1 0.668 0.295 0.264
Ag2 0.832 0.795 0.264
Ag3 0.332 0.968 0.264
Ag4 0.168 0.468 0.264
Ag5 0.168 0.205 0.736
Ag6 0.332 0.705 0.736
Ag7 0.832 0.532 0.736
Ag8 0.500 0.500 0.000
Ag9 0.668 0.032 0.736
Ag10 0.000 0.000 0.000
Au1 0.133 0.637 0.000
Au2 0.633 0.863 0.000
Au3 0.367 0.137 0.000
Au4 0.867 0.363 0.000
Hg1 0.500 0.292 0.585
Hg2 0.000 0.792 0.585
Hg3 0.000 0.208 0.415
Hg4 0.500 0.708 0.415
# formation energy	113	meV/atom
# distance to the lowest polymorph of the same formula	0.454	eV/f.u.

[4]
# AgHgAu | the Alexandria database | PBE-GGA | relaxed
data_AgHgAu
_chemical_formula_sum 'Ag2 Hg2 Au2'
_cell_length_a 2.970
_cell_length_b 2.970
_cell_length_c 13.899
_cell_angle_alpha 96.13
_cell_angle_beta 96.13
_cell_angle_gamma 90.00
_space_group_name_H-M_alt 'P 1'
_space_group_IT_number 1
loop_
_space_group_symop_operation_xyz
'x,y,z'
loop_
_atom_site_label
_atom_site_fract_x
_atom_site_fract_y
_atom_site_fract_z
Ag1 0.213 0.213 0.425
Ag2 0.787 0.787 0.575
Hg1 0.053 0.053 0.107
Hg2 0.947 0.947 0.893
Au1 0.638 0.638 0.276
Au2 0.362 0.362 0.724
# formation energy	41	meV/atom
# distance to the lowest polymorph of the same formula	0.012	eV/f.u.

[5]
# Ag4HgAu6 | the Alexandria database | PBE-GGA | relaxed
data_Ag4HgAu6
_chemical_formula_sum 'Ag4 Hg1 Au6'
_cell_length_a 4.322
_cell_length_b 7.790
_cell_length_c 7.790
_cell_angle_alpha 120.00
_cell_angle_beta 90.00
_cell_angle_gamma 90.00
_space_group_name_H-M_alt 'P 1'
_space_group_IT_number 1
loop_
_space_group_symop_operation_xyz
'x,y,z'
loop_
_atom_site_label
_atom_site_fract_x
_atom_site_fract_y
_atom_site_fract_z
Au1 0.500 0.203 0.405
Au2 0.000 0.536 0.072
Au3 0.500 0.203 0.797
Au4 0.000 0.928 0.464
Au5 0.500 0.595 0.797
Au6 0.000 0.536 0.464
Ag1 0.500 0.799 0.598
Ag2 0.000 0.333 0.667
Ag3 0.500 0.402 0.201
Ag4 0.500 0.799 0.201
Hg1 0.000 0.000 0.000
# formation energy	185	meV/atom
# distance to the lowest polymorph of the same formula	0.000	eV/f.u.

[6]
# Ag12HgAu6 | the Alexandria database | PBE-GGA | relaxed
data_Ag12HgAu6
_chemical_formula_sum 'Ag12 Hg1 Au6'
_cell_length_a 7.713
_cell_length_b 7.713
_cell_length_c 7.713
_cell_angle_alpha 106.74
_cell_angle_beta 106.74
_cell_angle_gamma 106.74
_space_group_name_H-M_alt 'P 1'
_space_group_IT_number 1
loop_
_space_group_symop_operation_xyz
'x,y,z'
loop_
_atom_site_label
_atom_site_fract_x
_atom_site_fract_y
_atom_site_fract_z
Hg1 0.000 0.000 0.000
Ag1 0.500 0.887 0.113
Ag2 0.500 0.113 0.887
Ag3 0.340 0.340 0.100
Ag4 0.887 0.500 0.113
Ag5 0.660 0.660 0.900
Ag6 0.340 0.100 0.340
Ag7 0.113 0.500 0.887
Ag8 0.887 0.113 0.500
Ag9 0.660 0.900 0.660
Ag10 0.900 0.660 0.660
Ag11 0.113 0.887 0.500
Ag12 0.100 0.340 0.340
Au1 0.694 0.310 0.310
Au2 0.306 0.690 0.690
Au3 0.690 0.690 0.306
Au4 0.690 0.306 0.690
Au5 0.310 0.310 0.694
Au6 0.310 0.694 0.310
# formation energy	96	meV/atom

[7]
# AgHgAu4 | the Alexandria database | PBE-GGA | relaxed
data_AgHgAu4
_chemical_formula_sum 'Ag1 Hg1 Au4'
_cell_length_a 5.095
_cell_length_b 5.120
_cell_length_c 5.191
_cell_angle_alpha 80.77
_cell_angle_beta 60.61
_cell_angle_gamma 70.92
_space_group_name_H-M_alt 'P 1'
_space_group_IT_number 1
loop_
_space_group_symop_operation_xyz
'x,y,z'
loop_
_atom_site_label
_atom_site_fract_x
_atom_site_fract_y
_atom_site_fract_z
Hg1 0.500 0.000 0.500
Ag1 0.000 0.500 0.500
Au1 0.834 0.000 0.831
Au2 0.331 0.500 0.838
Au3 0.669 0.500 0.162
Au4 0.166 0.000 0.169
# formation energy	19	meV/atom
# distance to the lowest polymorph of the same formula	0.000	eV/f.u.

[8]
# Ag10HgAu | the Alexandria database | PBE-GGA | relaxed
data_Ag10HgAu
_chemical_formula_sum 'Ag10 Hg1 Au1'
_cell_length_a 4.774
_cell_length_b 5.459
_cell_length_c 9.509
_cell_angle_alpha 90.00
_cell_angle_beta 90.00
_cell_angle_gamma 90.00
_space_group_name_H-M_alt 'P 1'
_space_group_IT_number 1
loop_
_space_group_symop_operation_xyz
'x,y,z'
loop_
_atom_site_label
_atom_site_fract_x
_atom_site_fract_y
_atom_site_fract_z
Ag1 0.000 0.500 0.159
Ag2 0.000 0.000 0.674
Ag3 0.500 0.500 0.000
Ag4 0.500 0.752 0.247
Ag5 0.000 0.500 0.841
Ag6 0.000 0.000 0.326
Ag7 0.500 0.752 0.753
Ag8 0.500 0.248 0.753
Ag9 0.500 0.248 0.247
Ag10 0.500 0.000 0.500
Au1 0.000 0.000 0.000
Hg1 0.000 0.500 0.500
# formation energy	186	meV/atom

[9]
# AgHgAu2 | the Alexandria database | PBE-GGA | relaxed
data_AgHgAu2
_chemical_formula_sum 'Ag1 Hg1 Au2'
_cell_length_a 2.979
_cell_length_b 2.979
_cell_length_c 8.596
_cell_angle_alpha 90.00
_cell_angle_beta 90.00
_cell_angle_gamma 90.00
_space_group_name_H-M_alt 'P 1'
_space_group_IT_number 1
loop_
_space_group_symop_operation_xyz
'x,y,z'
loop_
_atom_site_label
_atom_site_fract_x
_atom_site_fract_y
_atom_site_fract_z
Au1 0.000 0.000 0.988
Au2 0.000 0.000 0.512
Hg1 0.500 0.500 0.250
Ag1 0.500 0.500 0.750
# formation energy	39	meV/atom

[10]
# AgHgAu2 | the Alexandria database | PBE-GGA | relaxed
data_AgHgAu2
_chemical_formula_sum 'Ag1 Hg1 Au2'
_cell_length_a 4.105
_cell_length_b 3.130
_cell_length_c 6.818
_cell_angle_alpha 60.47
_cell_angle_beta 90.00
_cell_angle_gamma 90.00
_space_group_name_H-M_alt 'P 1'
_space_group_IT_number 1
loop_
_space_group_symop_operation_xyz
'x,y,z'
loop_
_atom_site_label
_atom_site_fract_x
_atom_site_fract_y
_atom_site_fract_z
Au1 0.000 0.002 0.992
Au2 0.000 0.498 0.508
Ag1 0.500 0.750 0.750
Hg1 0.500 0.250 0.250
# formation energy	29	meV/atom

[11]
# Ag2HgAu | the Alexandria database | PBE-GGA | relaxed
data_Ag2HgAu
_chemical_formula_sum 'Ag2 Hg1 Au1'
_cell_length_a 2.990
_cell_length_b 2.990
_cell_length_c 8.547
_cell_angle_alpha 90.00
_cell_angle_beta 90.00
_cell_angle_gamma 90.03
_space_group_name_H-M_alt 'P 1'
_space_group_IT_number 1
loop_
_space_group_symop_operation_xyz
'x,y,z'
loop_
_atom_site_label
_atom_site_fract_x
_atom_site_fract_y
_atom_site_fract_z
Au1 0.000 0.000 0.487
Ag1 0.000 0.000 0.011
Ag2 0.500 0.500 0.249
Hg1 0.500 0.500 0.752
# formation energy	46	meV/atom

[12]
# Ag2HgAu8 | the Alexandria database | PBE-GGA | relaxed
data_Ag2HgAu8
_chemical_formula_sum 'Ag2 Hg1 Au8'
_cell_length_a 4.973
_cell_length_b 7.066
_cell_length_c 7.066
_cell_angle_alpha 84.33
_cell_angle_beta 77.22
_cell_angle_gamma 77.22
_space_group_name_H-M_alt 'P 1'
_space_group_IT_number 1
loop_
_space_group_symop_operation_xyz
'x,y,z'
loop_
_atom_site_label
_atom_site_fract_x
_atom_site_fract_y
_atom_site_fract_z
Au1 0.293 0.428 0.428
Au2 0.796 0.668 0.164
Au3 0.204 0.836 0.332
Au4 0.877 0.280 0.280
Au5 0.123 0.720 0.720
Au6 0.796 0.164 0.668
Au7 0.707 0.572 0.572
Au8 0.204 0.332 0.836
Hg1 0.000 0.000 0.000
Ag1 0.554 0.851 0.851
Ag2 0.446 0.149 0.149
# formation energy	204	meV/atom
# distance to the lowest polymorph of the same formula	2.237	eV/f.u.

[13]
# AgHgAu6 | the Alexandria database | PBE-GGA | relaxed
data_AgHgAu6
_chemical_formula_sum 'Ag1 Hg1 Au6'
_cell_length_a 4.850
_cell_length_b 5.933
_cell_length_c 5.933
_cell_angle_alpha 119.87
_cell_angle_beta 90.00
_cell_angle_gamma 90.00
_space_group_name_H-M_alt 'P 1'
_space_group_IT_number 1
loop_
_space_group_symop_operation_xyz
'x,y,z'
loop_
_atom_site_label
_atom_site_fract_x
_atom_site_fract_y
_atom_site_fract_z
Au1 0.000 0.079 0.414
Au2 0.500 0.414 0.083
Au3 0.500 0.917 0.083
Au4 0.000 0.586 0.921
Au5 0.500 0.917 0.586
Au6 0.000 0.586 0.414
Ag1 0.000 0.084 0.916
Hg1 0.500 0.416 0.584
# formation energy	17	meV/atom
# distance to the lowest polymorph of the same formula	0.065	eV/f.u.

[14]
# Ag2HgAu6 | the Alexandria database | PBE-GGA | relaxed
data_Ag2HgAu6
_chemical_formula_sum 'Ag4 Hg2 Au12'
_cell_length_a 5.048
_cell_length_b 8.397
_cell_length_c 8.397
_cell_angle_alpha 73.89
_cell_angle_beta 81.83
_cell_angle_gamma 81.83
_space_group_name_H-M_alt 'P 1'
_space_group_IT_number 1
loop_
_space_group_symop_operation_xyz
'x,y,z'
loop_
_atom_site_label
_atom_site_fract_x
_atom_site_fract_y
_atom_site_fract_z
Au1 0.360 0.900 0.651
Au2 0.640 0.100 0.349
Au3 0.140 0.349 0.100
Au4 0.468 0.676 0.435
Au5 0.532 0.324 0.565
Au6 0.302 0.757 0.014
Au7 0.698 0.243 0.986
Au8 0.802 0.014 0.757
Au9 0.860 0.651 0.900
Au10 0.032 0.565 0.324
Au11 0.198 0.986 0.243
Au12 0.968 0.435 0.676
Hg1 0.250 0.128 0.872
Hg2 0.750 0.872 0.128
Ag1 0.914 0.791 0.542
Ag2 0.086 0.209 0.458
Ag3 0.414 0.542 0.791
Ag4 0.586 0.458 0.209
# formation energy	27	meV/atom
# distance to the lowest polymorph of the same formula	0.000	eV/f.u.

[15]
# Ag7HgAu5 | the Alexandria database | PBE-GGA | relaxed
data_Ag7HgAu5
_chemical_formula_sum 'Ag7 Hg1 Au5'
_cell_length_a 5.504
_cell_length_b 7.359
_cell_length_c 7.359
_cell_angle_alpha 81.63
_cell_angle_beta 68.04
_cell_angle_gamma 68.04
_space_group_name_H-M_alt 'P 1'
_space_group_IT_number 1
loop_
_space_group_symop_operation_xyz
'x,y,z'
loop_
_atom_site_label
_atom_site_fract_x
_atom_site_fract_y
_atom_site_fract_z
Au1 0.501 0.499 0.999
Au2 0.002 0.999 0.499
Au3 0.501 0.999 0.499
Au4 0.002 0.499 0.999
Au5 0.725 0.775 0.775
Ag1 0.646 0.354 0.354
Ag2 0.002 0.349 0.647
Ag3 0.501 0.206 0.791
Ag4 0.501 0.791 0.206
Ag5 0.002 0.647 0.349
Ag6 0.277 0.223 0.223
Ag7 0.355 0.645 0.645
Hg1 0.985 0.015 0.015
# formation energy	43	meV/atom

[16]
# Ag2HgAu | the Alexandria database | PBE-GGA | relaxed
data_Ag2HgAu
_chemical_formula_sum 'Ag2 Hg1 Au1'
_cell_length_a 4.762
_cell_length_b 4.762
_cell_length_c 4.762
_cell_angle_alpha 60.00
_cell_angle_beta 60.00
_cell_angle_gamma 60.00
_space_group_name_H-M_alt 'P 1'
_space_group_IT_number 1
loop_
_space_group_symop_operation_xyz
'x,y,z'
loop_
_atom_site_label
_atom_site_fract_x
_atom_site_fract_y
_atom_site_fract_z
Au1 0.500 0.500 0.500
Ag1 0.750 0.750 0.750
Ag2 0.000 0.000 0.000
Hg1 0.250 0.250 0.250
# formation energy	36	meV/atom

[17]
# AgHgAu2 | the Alexandria database | PBE-GGA | relaxed
data_AgHgAu2
_chemical_formula_sum 'Ag1 Hg1 Au2'
_cell_length_a 5.213
_cell_length_b 5.213
_cell_length_c 5.213
_cell_angle_alpha 132.59
_cell_angle_beta 132.29
_cell_angle_gamma 69.54
_space_group_name_H-M_alt 'P 1'
_space_group_IT_number 1
loop_
_space_group_symop_operation_xyz
'x,y,z'
loop_
_atom_site_label
_atom_site_fract_x
_atom_site_fract_y
_atom_site_fract_z
Hg1 0.750 0.250 0.500
Au1 0.000 0.000 0.000
Au2 0.500 0.500 0.000
Ag1 0.250 0.750 0.500
# formation energy	26	meV/atom

[18]
# Ag9Hg2Au | the Alexandria database | PBE-GGA | relaxed
data_Ag9Hg2Au
_chemical_formula_sum 'Ag9 Hg2 Au1'
_cell_length_a 4.243
_cell_length_b 4.243
_cell_length_c 12.396
_cell_angle_alpha 90.00
_cell_angle_beta 90.00
_cell_angle_gamma 90.00
_space_group_name_H-M_alt 'P 1'
_space_group_IT_number 1
loop_
_space_group_symop_operation_xyz
'x,y,z'
loop_
_atom_site_label
_atom_site_fract_x
_atom_site_fract_y
_atom_site_fract_z
Ag1 0.500 0.500 0.669
Ag2 0.500 0.000 0.838
Ag3 0.500 0.000 0.500
Ag4 0.000 0.500 0.162
Ag5 0.000 0.500 0.838
Ag6 0.500 0.000 0.162
Ag7 0.000 0.500 0.500
Ag8 0.500 0.500 0.331
Ag9 0.500 0.500 0.000
Au1 0.000 0.000 0.000
Hg1 0.000 0.000 0.331
Hg2 0.000 0.000 0.669
# formation energy	17	meV/atom

[19]
# Ag5Hg3Au3 | the Alexandria database | PBE-GGA | relaxed
data_Ag5Hg3Au3
_chemical_formula_sum 'Ag5 Hg3 Au3'
_cell_length_a 2.884
_cell_length_b 9.720
_cell_length_c 9.720
_cell_angle_alpha 120.00
_cell_angle_beta 90.00
_cell_angle_gamma 90.00
_space_group_name_H-M_alt 'P 1'
_space_group_IT_number 1
loop_
_space_group_symop_operation_xyz
'x,y,z'
loop_
_atom_site_label
_atom_site_fract_x
_atom_site_fract_y
_atom_site_fract_z
Ag1 0.500 0.000 0.331
Ag2 0.500 0.667 0.333
Ag3 0.500 0.331 0.000
Ag4 0.500 0.333 0.667
Ag5 0.500 0.669 0.669
Hg1 0.000 0.419 0.419
Hg2 0.000 0.000 0.581
Hg3 0.000 0.581 0.000
Au1 0.500 0.166 0.166
Au2 0.500 0.000 0.834
Au3 0.500 0.834 0.000
# formation energy	179	meV/atom

[20]
# Ag7HgAu3 | the Alexandria database | PBE-GGA | relaxed
data_Ag7HgAu3
_chemical_formula_sum 'Ag7 Hg1 Au3'
_cell_length_a 5.143
_cell_length_b 7.065
_cell_length_c 7.065
_cell_angle_alpha 91.72
_cell_angle_beta 109.91
_cell_angle_gamma 109.91
_space_group_name_H-M_alt 'P 1'
_space_group_IT_number 1
loop_
_space_group_symop_operation_xyz
'x,y,z'
loop_
_atom_site_label
_atom_site_fract_x
_atom_site_fract_y
_atom_site_fract_z
Au1 0.000 0.768 0.232
Au2 0.000 0.232 0.768
Au3 0.500 0.000 0.000
Ag1 0.154 0.174 0.174
Ag2 0.328 0.064 0.593
Ag3 0.000 0.500 0.500
Ag4 0.328 0.593 0.064
Ag5 0.672 0.936 0.407
Ag6 0.846 0.826 0.826
Ag7 0.672 0.407 0.936
Hg1 0.500 0.500 0.500
# formation energy	151	meV/atom

[21]
# Ag12HgAu2 | the Alexandria database | PBE-GGA | relaxed
data_Ag12HgAu2
_chemical_formula_sum 'Ag24 Hg2 Au4'
_cell_length_a 5.375
_cell_length_b 5.375
_cell_length_c 21.245
_cell_angle_alpha 90.00
_cell_angle_beta 90.00
_cell_angle_gamma 90.00
_space_group_name_H-M_alt 'P 1'
_space_group_IT_number 1
loop_
_space_group_symop_operation_xyz
'x,y,z'
loop_
_atom_site_label
_atom_site_fract_x
_atom_site_fract_y
_atom_site_fract_z
Ag1 0.313 0.813 0.883
Ag2 0.687 0.813 0.117
Ag3 0.500 0.500 0.785
Ag4 0.500 0.500 0.659
Ag5 0.687 0.187 0.883
Ag6 0.820 0.320 0.561
Ag7 0.320 0.820 0.439
Ag8 0.180 0.680 0.561
Ag9 0.680 0.820 0.561
Ag10 0.813 0.687 0.883
Ag11 0.187 0.313 0.883
Ag12 0.680 0.180 0.439
Ag13 0.500 0.500 0.215
Ag14 0.813 0.313 0.117
Ag15 0.820 0.680 0.439
Ag16 0.000 0.000 0.341
Ag17 0.000 0.000 0.215
Ag18 0.313 0.187 0.117
Ag19 0.500 0.500 0.341
Ag20 0.000 0.000 0.659
Ag21 0.320 0.180 0.561
Ag22 0.187 0.687 0.117
Ag23 0.000 0.000 0.785
Ag24 0.180 0.320 0.439
Au1 0.500 0.000 0.722
Au2 0.000 0.500 0.722
Au3 0.000 0.500 0.278
Au4 0.500 0.000 0.278
Hg1 0.500 0.000 0.000
Hg2 0.000 0.500 0.000
# formation energy	185	meV/atom